Compound: Fe2Pt2F
Source: Alexandria
Functional: GGA+U
Structure: relaxed

Structure (POSCAR):
```
Fe2Pt2F
1.0
-1.8633 1.8633 6.5965
1.8633 -1.8633 6.5965
1.8633 1.8633 -6.5965
Fe Pt F
2 2 1
direct
0.1067 0.1067 0.0000 Fe
0.8933 0.8933 0.0000 Fe
0.2500 0.7500 0.5000 Pt
0.7500 0.2500 0.5000 Pt
0.5000 0.5000 0.0000 F
```

## Properties
* D(E_F): 2.31 states/eV/cell
* DFT total energy: -25.7 eV/cell
* SG: I4/mmm, No. 139
* distance to the lowest polymorph of the same formula: 116 meV/atom